No. 1
VASP calculation (meta-GGA SCAN) on a crystal of BaZnMo relaxed with PBEsol. Values from VASP.

Quantum ESPRESSO input file:
```
&SYSTEM
  ibrav = 0, nat = 3, ntyp = 3
/
ATOMIC_SPECIES
Ba 137.33 Ba.upf
Mo 95.94 Mo.upf
Zn 65.41 Zn.upf
CELL_PARAMETERS angstrom
5.155 0.000 0.000
2.577 4.464 0.000
2.577 1.488 4.209
ATOMIC_POSITIONS angstrom
Ba 2.577 1.488 1.052
Mo 0.000 0.000 0.000
Zn 5.155 2.976 2.104
```

Summary:
* distance to the lowest polymorph of the same formula: 1.49 eV/f.u.
* formation energy from the elements: 153.7 kJ/mol of atoms
* calculated total energy: -2.038 Ry/atom

***

No. 2
VASP calculation (meta-GGA SCAN) on a crystal of BaZnMo2 relaxed with PBEsol. Values from VASP.

Quantum ESPRESSO input file:
```
&SYSTEM
  ibrav = 0, nat = 4, ntyp = 3
/
ATOMIC_SPECIES
Mo 95.94 Mo.upf
Ba 137.33 Ba.upf
Zn 65.41 Zn.upf
CELL_PARAMETERS angstrom
-0.123 2.309 -2.341
-4.737 -0.977 1.598
1.589 4.077 3.938
ATOMIC_POSITIONS angstrom
Mo -1.155 3.773 1.469
Mo -2.116 1.637 1.725
Ba -0.061 1.155 -1.171
Zn 0.794 2.039 1.969
```

Summary:
* formation energy from the elements: 63.5 kJ/mol of atoms
* calculated total energy: -2.209 Ry/atom

***

No. 3
VASP calculation (meta-GGA SCAN) on a crystal of BaZn2Mo relaxed with PBEsol. Values from VASP.

Quantum ESPRESSO input file:
```
&SYSTEM
  ibrav = 0, nat = 4, ntyp = 3
/
ATOMIC_SPECIES
Mo 95.94 Mo.upf
Zn 65.41 Zn.upf
Ba 137.33 Ba.upf
CELL_PARAMETERS angstrom
-2.887 0.475 0.194
-0.037 -2.166 4.747
0.907 4.964 1.327
ATOMIC_POSITIONS angstrom
Mo -1.009 1.637 3.134
Zn 0.453 2.482 0.663
Zn -0.018 -1.083 2.373
Ba -1.444 0.238 0.097
```

Summary:
* distance to the lowest polymorph of the same formula: 0.48 eV/f.u.
* formation energy from the elements: 67.8 kJ/mol of atoms
* calculated total energy: -1.813 Ry/atom

***

No. 4
VASP calculation (meta-GGA SCAN) on a crystal of BaZnMo2 relaxed with PBEsol. Values from VASP.

Quantum ESPRESSO input file:
```
&SYSTEM
  ibrav = 0, nat = 4, ntyp = 3
/
ATOMIC_SPECIES
Ba 137.33 Ba.upf
Mo 95.94 Mo.upf
Zn 65.41 Zn.upf
CELL_PARAMETERS angstrom
-1.958 -2.737 -0.847
2.079 -0.651 -2.701
4.101 -4.227 4.176
ATOMIC_POSITIONS angstrom
Ba 2.111 -3.808 0.314
Mo 0.610 -0.628 0.621
Mo 3.491 -3.599 3.555
Zn 0.060 -1.694 -1.774
```

Summary:
* formation energy from the elements: 62.7 kJ/mol of atoms
* calculated total energy: -2.209 Ry/atom

***

No. 5
VASP calculation (meta-GGA SCAN) on a crystal of BaZn2Mo relaxed with PBEsol. Values from VASP.

Quantum ESPRESSO input file:
```
&SYSTEM
  ibrav = 0, nat = 4, ntyp = 3
/
ATOMIC_SPECIES
Mo 95.94 Mo.upf
Zn 65.41 Zn.upf
Ba 137.33 Ba.upf
CELL_PARAMETERS angstrom
-1.004 -2.533 1.041
1.175 -2.320 -4.509
4.744 -1.132 1.819
ATOMIC_POSITIONS angstrom
Mo -0.502 -1.266 0.521
Zn 2.372 -0.566 0.910
Zn 0.588 -1.160 -2.255
Ba 2.458 -2.993 -0.824
```

Summary:
* distance to the lowest polymorph of the same formula: 0.48 eV/f.u.
* formation energy from the elements: 67.7 kJ/mol of atoms
* calculated total energy: -1.813 Ry/atom

***

No. 6
VASP calculation (meta-GGA SCAN) on a crystal of BaZnMo relaxed with PBEsol. Values from VASP.

Quantum ESPRESSO input file:
```
&SYSTEM
  ibrav = 0, nat = 3, ntyp = 3
/
ATOMIC_SPECIES
Ba 137.33 Ba.upf
Mo 95.94 Mo.upf
Zn 65.41 Zn.upf
CELL_PARAMETERS angstrom
-2.734 -3.938 1.238
-0.419 -3.808 -3.136
2.199 -4.313 1.036
ATOMIC_POSITIONS angstrom
Ba 0.000 0.000 0.000
Mo -0.477 -6.030 -0.431
Zn -0.238 -3.015 -0.215
```

Summary:
* distance to the lowest polymorph of the same formula: 0.00 eV/f.u.
* formation energy from the elements: 105.6 kJ/mol of atoms
* calculated total energy: -2.074 Ry/atom

***

No. 7
VASP calculation (meta-GGA SCAN) on a crystal of BaZn2Mo relaxed with PBEsol. Values from VASP.

Quantum ESPRESSO input file:
```
&SYSTEM
  ibrav = 0, nat = 4, ntyp = 3
/
ATOMIC_SPECIES
Mo 95.94 Mo.upf
Zn 65.41 Zn.upf
Ba 137.33 Ba.upf
CELL_PARAMETERS angstrom
-1.795 -1.664 -1.783
0.462 -2.407 1.781
-6.753 2.210 4.735
ATOMIC_POSITIONS angstrom
Mo -6.180 -0.231 3.865
Zn -1.899 -1.632 0.863
Zn -0.062 0.020 0.044
Ba -3.321 1.087 2.329
```

Summary:
* distance to the lowest polymorph of the same formula: 0.00 eV/f.u.
* formation energy from the elements: 56.1 kJ/mol of atoms
* calculated total energy: -1.822 Ry/atom

***

No. 8
VASP calculation (meta-GGA SCAN) on a crystal of BaZrMo2 relaxed with PBEsol. Values from VASP.

Quantum ESPRESSO input file:
```
&SYSTEM
  ibrav = 0, nat = 4, ntyp = 3
/
ATOMIC_SPECIES
Zr 91.22 Zr.upf
Mo 95.94 Mo.upf
Ba 137.33 Ba.upf
CELL_PARAMETERS angstrom
3.296 0.000 0.000
0.000 5.093 0.000
-1.648 -2.547 4.745
ATOMIC_POSITIONS angstrom
Zr 1.648 0.000 0.000
Mo 1.648 2.547 2.405
Ba 0.000 2.547 0.000
Mo 0.000 0.000 2.340
```

Summary:
* distance to the lowest polymorph of the same formula: 2.91 eV/f.u.
* formation energy from the elements: 116.9 kJ/mol of atoms
* calculated total energy: -2.484 Ry/atom

***

Which value of formation energy from the elements does entry 4 give?
62.7 kJ/mol of atoms